# Zr2Ge2Sb | the Alexandria database | PBE | relaxed
# ΔE_f (raw) in eV/f.u.: -2.816
# Total DFT energy (no corrections) in eV for the cell shown: -66.54
# Spin magnetization in μB/f.u.: 0.00
# E above lowest polymorph in meV per atom: 0
data_Zr2Ge2Sb
_cell_length_a 3.747
_cell_length_b 3.747
_cell_length_c 14.967
_cell_angle_alpha 90.00
_cell_angle_beta 90.00
_cell_angle_gamma 90.00
_space_group_name_H-M_alt 'I 4/m m m'
_space_group_IT_number 139
_space_group_name_Hall '-I 4 2'
loop_
_atom_site_label
_atom_site_type_symbol
_atom_site_fract_x
_atom_site_fract_y
_atom_site_fract_z
_atom_site_occupancy
Zr1 Zr 0.000 0.000 0.106 1
Ge1 Ge 0.000 0.500 0.250 1
Sb1 Sb 0.000 0.000 0.500 1

=====

# Sm2YHo2Tm2 | the Alexandria database | PBE | relaxed
# Calculated formation energy in meV/atom: 151
# Total DFT energy (no corrections) in eV for the cell shown: -65.89
# Spin magnetization in μB/f.u.: 0.00
data_Sm2YHo2Tm2
_cell_length_a 17.561
_cell_length_b 3.486
_cell_length_c 8.395
_cell_angle_alpha 90.00
_cell_angle_beta 116.98
_cell_angle_gamma 90.00
_space_group_name_H-M_alt 'C 1 2/m 1'
_space_group_IT_number 12
loop_
_space_group_symop_operation_xyz
'x,y,z'
'-x,-y,-z'
'-x,y,-z'
'x,-y,z'
'x+1/2,y+1/2,z'
'-x+1/2,-y+1/2,-z'
'-x+1/2,y+1/2,-z'
'x+1/2,-y+1/2,z'
loop_
_atom_site_label
_atom_site_type_symbol
_atom_site_fract_x
_atom_site_fract_y
_atom_site_fract_z
_atom_site_occupancy
Sm1 Sm 0.149 0.000 0.388 1
Y1 Y 0.000 0.500 0.500 1
Ho1 Ho 0.071 0.000 0.907 1
Tm1 Tm 0.211 0.500 0.800 1

=====

# Tb4Ho4Pb | the Alexandria database | PBE | relaxed
# Calculated formation energy in meV/atom: -90
# Total DFT energy (no corrections) in eV for the cell shown: -82.71
# Spin magnetization in μB/f.u.: 0.00
data_Tb4Ho4Pb
_cell_length_a 10.696
_cell_length_b 10.696
_cell_length_c 4.833
_cell_angle_alpha 90.00
_cell_angle_beta 90.00
_cell_angle_gamma 90.00
_space_group_name_H-M_alt 'I 4/m m m'
_space_group_IT_number 139
_space_group_name_Hall '-I 4 2'
loop_
_atom_site_label
_atom_site_type_symbol
_atom_site_fract_x
_atom_site_fract_y
_atom_site_fract_z
_atom_site_occupancy
Tb1 Tb 0.000 0.336 0.000 1
Ho1 Ho 0.162 0.162 0.500 1
Pb1 Pb 0.000 0.000 0.000 1

=====

# RuPt2W | the Alexandria database | PBE | relaxed
# Calculated formation energy in meV/atom: 981
# Total DFT energy (no corrections) in eV for the cell shown: -121.55
# Spin magnetization in μB/f.u.: 0.00
# E above lowest polymorph in meV per atom: 1172
data_RuPt2W
_cell_length_a 5.822
_cell_length_b 5.822
_cell_length_c 10.589
_cell_angle_alpha 90.00
_cell_angle_beta 90.00
_cell_angle_gamma 90.00
_space_group_name_H-M_alt 'I -4 2 d'
_space_group_IT_number 122
_space_group_name_Hall 'I -4 2bw'
loop_
_atom_site_label
_atom_site_type_symbol
_atom_site_fract_x
_atom_site_fract_y
_atom_site_fract_z
_atom_site_occupancy
Ru1 Ru 0.000 0.000 0.000 1
Pt1 Pt 0.248 0.250 0.125 1
W1 W 0.000 0.000 0.500 1

=====

# MgCu2Si | the Alexandria database | PBE | relaxed
# ΔE_f (raw) in eV/f.u.: 0.039
# Total DFT energy (no corrections) in eV for the cell shown: -30.34
# Spin magnetization in μB/f.u.: 0.00
data_MgCu2Si
_cell_length_a 8.577
_cell_length_b 3.123
_cell_length_c 4.456
_cell_angle_alpha 90.00
_cell_angle_beta 105.20
_cell_angle_gamma 90.00
_space_group_name_H-M_alt 'C 1 m 1'
_space_group_IT_number 8
loop_
_space_group_symop_operation_xyz
'x,y,z'
'x,-y,z'
'x+1/2,y+1/2,z'
'x+1/2,-y+1/2,z'
loop_
_atom_site_label
_atom_site_type_symbol
_atom_site_fract_x
_atom_site_fract_y
_atom_site_fract_z
_atom_site_occupancy
Mg1 Mg 0.000 0.000 0.000 1
Cu1 Cu 0.002 0.500 0.500 1
Cu2 Cu 0.257 0.500 0.251 1
Si1 Si 0.233 0.000 0.672 1

=====

# Rb2ScCdCo | the Alexandria database | PBE | relaxed
# Calculated formation energy in meV/atom: 1150
# Total DFT energy (no corrections) in eV for the cell shown: -10.54
# Spin magnetization in μB/f.u.: 2.75
data_Rb2ScCdCo
_cell_length_a 6.672
_cell_length_b 6.672
_cell_length_c 5.631
_cell_angle_alpha 90.00
_cell_angle_beta 90.00
_cell_angle_gamma 90.00
_space_group_name_H-M_alt 'P 4/m m m'
_space_group_IT_number 123
_space_group_name_Hall '-P 4 2'
loop_
_atom_site_label
_atom_site_type_symbol
_atom_site_fract_x
_atom_site_fract_y
_atom_site_fract_z
_atom_site_occupancy
Rb1 Rb 0.000 0.500 0.000 1
Sc1 Sc 0.000 0.000 0.500 1
Cd1 Cd 0.000 0.000 0.000 1
Co1 Co 0.500 0.500 0.500 1

=====

# K3Ce2F8 | the Alexandria database | PBE | relaxed
# ΔE_f (raw) in eV/f.u.: -41.925
# Total DFT energy (no corrections) in eV for the cell shown: -144.11
# Spin magnetization in μB/f.u.: 3.00
data_K3Ce2F8
_cell_length_a 8.394
_cell_length_b 12.758
_cell_length_c 4.217
_cell_angle_alpha 90.00
_cell_angle_beta 90.00
_cell_angle_gamma 90.00
_space_group_name_H-M_alt 'C m m m'
_space_group_IT_number 65
_space_group_name_Hall '-C 2 2'
loop_
_atom_site_label
_atom_site_type_symbol
_atom_site_fract_x
_atom_site_fract_y
_atom_site_fract_z
_atom_site_occupancy
K1 K 0.000 0.000 0.000 1
K2 K 0.213 0.500 0.500 1
Ce1 Ce 0.000 0.261 0.000 1
F1 F 0.000 0.134 0.500 1
F2 F 0.000 0.351 0.500 1
F3 F 0.240 0.142 0.000 1

=====

# Nd2HoSb3 | the Alexandria database | PBE | relaxed
# ΔE_f (raw) in eV/f.u.: -6.948
# Total DFT energy (no corrections) in eV for the cell shown: -133.71
# Spin magnetization in μB/f.u.: 0.00
# E above lowest polymorph in meV per atom: 0
data_Nd2HoSb3
_cell_length_a 7.750
_cell_length_b 13.425
_cell_length_c 7.745
_cell_angle_alpha 90.00
_cell_angle_beta 109.49
_cell_angle_gamma 90.00
_space_group_name_H-M_alt 'C 1 2/m 1'
_space_group_IT_number 12
loop_
_space_group_symop_operation_xyz
'x,y,z'
'-x,-y,-z'
'-x,y,-z'
'x,-y,z'
'x+1/2,y+1/2,z'
'-x+1/2,-y+1/2,-z'
'-x+1/2,y+1/2,-z'
'x+1/2,-y+1/2,z'
loop_
_atom_site_label
_atom_site_type_symbol
_atom_site_fract_x
_atom_site_fract_y
_atom_site_fract_z
_atom_site_occupancy
Nd1 Nd 0.000 0.000 0.000 1
Nd2 Nd 0.000 0.165 0.500 1
Nd3 Nd 0.000 0.500 0.500 1
Ho1 Ho 0.000 0.333 0.000 1
Sb1 Sb 0.241 0.500 0.242 1
Sb2 Sb 0.249 0.331 0.756 1

=====

# Li2Cd2Ag2Hg | the Alexandria database | PBE | relaxed
# Calculated formation energy in meV/atom: -194
# Total DFT energy (no corrections) in eV for the cell shown: -26.04
# Spin magnetization in μB/f.u.: 0.00
data_Li2Cd2Ag2Hg
_cell_length_a 9.342
_cell_length_b 4.208
_cell_length_c 6.771
_cell_angle_alpha 90.00
_cell_angle_beta 99.00
_cell_angle_gamma 90.00
_space_group_name_H-M_alt 'C 1 2/m 1'
_space_group_IT_number 12
loop_
_space_group_symop_operation_xyz
'x,y,z'
'-x,-y,-z'
'-x,y,-z'
'x,-y,z'
'x+1/2,y+1/2,z'
'-x+1/2,-y+1/2,-z'
'-x+1/2,y+1/2,-z'
'x+1/2,-y+1/2,z'
loop_
_atom_site_label
_atom_site_type_symbol
_atom_site_fract_x
_atom_site_fract_y
_atom_site_fract_z
_atom_site_occupancy
Li1 Li 0.208 0.000 0.154 1
Cd1 Cd 0.082 0.000 0.713 1
Ag1 Ag 0.143 0.500 0.425 1
Hg1 Hg 0.000 0.500 0.000 1

=====

# TaTe4Se | the Alexandria database | PBE | relaxed
# ΔE_f (raw) in eV/f.u.: 6.384
# Total DFT energy (no corrections) in eV for the cell shown: -86.08
# Spin magnetization in μB/f.u.: 1.14
data_TaTe4Se
_cell_length_a 8.676
_cell_length_b 8.676
_cell_length_c 8.676
_cell_angle_alpha 90.00
_cell_angle_beta 90.00
_cell_angle_gamma 90.00
_space_group_name_H-M_alt 'F -4 3 m'
_space_group_IT_number 216
_space_group_name_Hall 'F -4 2 3'
loop_
_atom_site_label
_atom_site_type_symbol
_atom_site_fract_x
_atom_site_fract_y
_atom_site_fract_z
_atom_site_occupancy
Ta1 Ta 0.000 0.000 0.000 1
Te1 Te 0.126 0.126 0.626 1
Se1 Se 0.250 0.250 0.250 1

=====

# La6TbCe | the Alexandria database | PBE | relaxed
# Calculated formation energy in meV/atom: 37
# Total DFT energy (no corrections) in eV for the cell shown: -39.83
# Spin magnetization in μB/f.u.: 1.23
data_La6TbCe
_cell_length_a 5.185
_cell_length_b 5.185
_cell_length_c 10.383
_cell_angle_alpha 90.00
_cell_angle_beta 90.00
_cell_angle_gamma 90.00
_space_group_name_H-M_alt 'P 4/m m m'
_space_group_IT_number 123
_space_group_name_Hall '-P 4 2'
loop_
_atom_site_label
_atom_site_type_symbol
_atom_site_fract_x
_atom_site_fract_y
_atom_site_fract_z
_atom_site_occupancy
La1 La 0.000 0.000 0.000 1
La2 La 0.000 0.000 0.500 1
La3 La 0.000 0.500 0.245 1
Tb1 Tb 0.500 0.500 0.500 1
Ce1 Ce 0.500 0.500 0.000 1

=====

# TlPRu3 | the Alexandria database | PBE | relaxed
# Calculated formation energy in meV/atom: 2540
# Total DFT energy (no corrections) in eV for the cell shown: -22.90
# Spin magnetization in μB/f.u.: 6.26
# E above lowest polymorph in meV per atom: 2235
data_TlPRu3
_cell_length_a 4.981
_cell_length_b 4.981
_cell_length_c 4.981
_cell_angle_alpha 90.00
_cell_angle_beta 90.00
_cell_angle_gamma 90.00
_space_group_name_H-M_alt 'P m -3 m'
_space_group_IT_number 221
_space_group_name_Hall '-P 4 2 3'
loop_
_atom_site_label
_atom_site_type_symbol
_atom_site_fract_x
_atom_site_fract_y
_atom_site_fract_z
_atom_site_occupancy
Tl1 Tl 0.000 0.000 0.000 1
P1 P 0.500 0.500 0.500 1
Ru1 Ru 0.000 0.000 0.500 1

=====

# Li2Y3Al7 | the Alexandria database | PBE | relaxed
# Calculated formation energy in meV/atom: -410
# Total DFT energy (no corrections) in eV for the cell shown: -163.00
# Spin magnetization in μB/f.u.: 0.00
data_Li2Y3Al7
_cell_length_a 5.5525
_cell_length_b 5.5525
_cell_length_c 25.9984
_cell_angle_alpha 90.00
_cell_angle_beta 90.00
_cell_angle_gamma 120.00
_space_group_name_H-M_alt 'R -3 m'
_space_group_IT_number 166
_space_group_name_Hall '-R 3 2"'
loop_
_atom_site_label
_atom_site_type_symbol
_atom_site_fract_x
_atom_site_fract_y
_atom_site_fract_z
_atom_site_occupancy
Li1 Li 0.0000 0.0000 0.1647 1
Y1 Y 0.0000 0.0000 0.3589 1
Y2 Y 0.0000 0.0000 0.5000 1
Al1 Al 0.0000 0.0000 0.0000 1
Al2 Al 0.0064 0.5032 0.4180 1

=====

# Pu2SnAs | the Alexandria database | PBE | relaxed
# Calculated formation energy in meV/atom: -515
# Total DFT energy (no corrections) in eV for the cell shown: -118.13
# Spin magnetization in μB/f.u.: 10.67
# E above lowest polymorph in meV per atom: 65
data_Pu2SnAs
_cell_length_a 4.0140
_cell_length_b 4.0140
_cell_length_c 23.9799
_cell_angle_alpha 90.00
_cell_angle_beta 90.00
_cell_angle_gamma 120.00
_space_group_name_H-M_alt 'R -3 m'
_space_group_IT_number 166
_space_group_name_Hall '-R 3 2"'
loop_
_atom_site_label
_atom_site_type_symbol
_atom_site_fract_x
_atom_site_fract_y
_atom_site_fract_z
_atom_site_occupancy
Pu1 Pu 0.0000 0.0000 0.2389 1
Sn1 Sn 0.0000 0.0000 0.0000 1
As1 As 0.0000 0.0000 0.5000 1

=====

# BaNpNi2P2 | the Alexandria database | PBE | relaxed
# Calculated formation energy in meV/atom: -760
# Total DFT energy (no corrections) in eV for the cell shown: -41.81
# Spin magnetization in μB/f.u.: 3.30
data_BaNpNi2P2
_cell_length_a 3.9821
_cell_length_b 3.9821
_cell_length_c 8.4905
_cell_angle_alpha 90.00
_cell_angle_beta 90.00
_cell_angle_gamma 120.00
_space_group_name_H-M_alt 'P -3 m 1'
_space_group_IT_number 164
_space_group_name_Hall '-P 3 2"'
loop_
_atom_site_label
_atom_site_type_symbol
_atom_site_fract_x
_atom_site_fract_y
_atom_site_fract_z
_atom_site_occupancy
Ba1 Ba 0.0000 0.0000 0.0000 1
Np1 Np 0.0000 0.0000 0.5000 1
Ni1 Ni 0.3333 0.6667 0.7117 1
P1 P 0.3333 0.6667 0.2878 1

=====

# Li2In9Pb | the Alexandria database | PBE | relaxed
# Calculated formation energy in meV/atom: -70
# Total DFT energy (no corrections) in eV for the cell shown: -33.02
# Spin magnetization in μB/f.u.: 0.00
data_Li2In9Pb
_cell_length_a 4.705
_cell_length_b 4.705
_cell_length_c 13.809
_cell_angle_alpha 90.00
_cell_angle_beta 90.00
_cell_angle_gamma 90.00
_space_group_name_H-M_alt 'P 4/m m m'
_space_group_IT_number 123
_space_group_name_Hall '-P 4 2'
loop_
_atom_site_label
_atom_site_type_symbol
_atom_site_fract_x
_atom_site_fract_y
_atom_site_fract_z
_atom_site_occupancy
Li1 Li 0.000 0.000 0.154 1
In1 In 0.000 0.500 0.000 1
In2 In 0.000 0.500 0.317 1
In3 In 0.500 0.500 0.157 1
In4 In 0.500 0.500 0.500 1
Pb1 Pb 0.000 0.000 0.500 1

=====

# TiTcSb2Pt | the Alexandria database | PBE | relaxed
# ΔE_f (raw) in eV/f.u.: 5.565
# Total DFT energy (no corrections) in eV for the cell shown: -26.98
# Spin magnetization in μB/f.u.: 0.00
# E above lowest polymorph in meV per atom: 282
data_TiTcSb2Pt
_cell_length_a 5.157
_cell_length_b 5.157
_cell_length_c 4.769
_cell_angle_alpha 90.00
_cell_angle_beta 90.00
_cell_angle_gamma 90.00
_space_group_name_H-M_alt 'P 4/m m m'
_space_group_IT_number 123
_space_group_name_Hall '-P 4 2'
loop_
_atom_site_label
_atom_site_type_symbol
_atom_site_fract_x
_atom_site_fract_y
_atom_site_fract_z
_atom_site_occupancy
Ti1 Ti 0.000 0.000 0.000 1
Tc1 Tc 0.500 0.500 0.000 1
Sb1 Sb 0.000 0.500 0.500 1
Pt1 Pt 0.500 0.500 0.500 1

=====

# Pu2Mn2C2N | the Alexandria database | PBE | relaxed
# ΔE_f (raw) in eV/f.u.: -2.577
# Total DFT energy (no corrections) in eV for the cell shown: -152.71
# Spin magnetization in μB/f.u.: 9.11
data_Pu2Mn2C2N
_cell_length_a 10.129
_cell_length_b 3.317
_cell_length_c 6.147
_cell_angle_alpha 90.00
_cell_angle_beta 122.34
_cell_angle_gamma 90.00
_space_group_name_H-M_alt 'C 1 2/m 1'
_space_group_IT_number 12
loop_
_space_group_symop_operation_xyz
'x,y,z'
'-x,-y,-z'
'-x,y,-z'
'x,-y,z'
'x+1/2,y+1/2,z'
'-x+1/2,-y+1/2,-z'
'-x+1/2,y+1/2,-z'
'x+1/2,-y+1/2,z'
loop_
_atom_site_label
_atom_site_type_symbol
_atom_site_fract_x
_atom_site_fract_y
_atom_site_fract_z
_atom_site_occupancy
Pu1 Pu 0.067 0.000 0.337 1
Mn1 Mn 0.203 0.500 0.086 1
C1 C 0.191 0.500 0.745 1
N1 N 0.000 0.500 0.000 1

=====

# LiSnIrPb | the Alexandria database | PBE | relaxed
# Calculated formation energy in meV/atom: -102
# Total DFT energy (no corrections) in eV for the cell shown: -75.58
# Spin magnetization in μB/f.u.: 0.00
data_LiSnIrPb
_cell_length_a 6.723
_cell_length_b 6.723
_cell_length_c 6.723
_cell_angle_alpha 90.00
_cell_angle_beta 90.00
_cell_angle_gamma 90.00
_space_group_name_H-M_alt 'F -4 3 m'
_space_group_IT_number 216
_space_group_name_Hall 'F -4 2 3'
loop_
_atom_site_label
_atom_site_type_symbol
_atom_site_fract_x
_atom_site_fract_y
_atom_site_fract_z
_atom_site_occupancy
Li1 Li 0.000 0.000 0.000 1
Sn1 Sn 0.250 0.250 0.750 1
Ir1 Ir 0.000 0.000 0.500 1
Pb1 Pb 0.250 0.250 0.250 1

=====

# ScCr2CdMo | the Alexandria database | PBE | relaxed
# Calculated formation energy in meV/atom: 1626
# Total DFT energy (no corrections) in eV for the cell shown: -29.19
# Spin magnetization in μB/f.u.: 5.82
data_ScCr2CdMo
_cell_length_a 4.911
_cell_length_b 4.911
_cell_length_c 5.113
_cell_angle_alpha 90.00
_cell_angle_beta 90.00
_cell_angle_gamma 90.00
_space_group_name_H-M_alt 'P 4/m m m'
_space_group_IT_number 123
_space_group_name_Hall '-P 4 2'
loop_
_atom_site_label
_atom_site_type_symbol
_atom_site_fract_x
_atom_site_fract_y
_atom_site_fract_z
_atom_site_occupancy
Sc1 Sc 0.000 0.000 0.000 1
Cr1 Cr 0.000 0.500 0.500 1
Cd1 Cd 0.500 0.500 0.500 1
Mo1 Mo 0.500 0.500 0.000 1